This record from the Alexandria database describes a relaxed structure of PuNpSb. The functional is GGA-PBE. Values from VASP.

Results
As for the uncorrected formation energy: -0.059 eV per atom. The value obtained for the total magnetization is 4.712 Bohr magnetons per cell. Its volume is 23.6 A^3/atom. Its density is 14.2 g cm⁻³. Its calculated total energy is -63.15 eV/cell.

Structure (Quantum ESPRESSO input):
```
&SYSTEM
  ibrav = 0, nat = 6, ntyp = 3
/
ATOMIC_SPECIES
Sb 121.76 Sb.upf
Pu 244.00 Pu.upf
Np 237.00 Np.upf
ATOMIC_POSITIONS crystal
Sb 0.7465 0.7535 0.7535
Sb 0.2535 0.2465 0.2465
Pu 0.5000 0.6625 0.3375
Pu 0.5000 0.3375 0.6625
Np 0.0000 0.8290 0.1710
Np 0.0000 0.1710 0.8290
CELL_PARAMETERS angstrom
3.7175 0.0000 0.0000
1.8587 6.1710 -0.7323
1.8587 -0.3495 6.2045
```



This record from the Alexandria database describes a relaxed structure of Pu2NpSb. The functional is GGA-PBE. Values from VASP.

Results
As for the uncorrected formation energy: -0.156 eV per atom. The value obtained for the total magnetization is 15.931 Bohr magnetons per cell. Its volume is 25.2 A^3/atom. The energy above the most stable polymorph in this dataset is 0.000 eV/atom. Its density is 14.0 g cm⁻³. Its calculated total energy is -46.35 eV/cell.

Structure (Quantum ESPRESSO input):
```
&SYSTEM
  ibrav = 0, nat = 4, ntyp = 3
/
ATOMIC_SPECIES
Sb 121.76 Sb.upf
Pu 244.00 Pu.upf
Np 237.00 Np.upf
ATOMIC_POSITIONS crystal
Sb 0.5000 0.0000 0.0000
Pu 0.0000 0.0000 0.5000
Pu 0.0000 0.5000 0.0000
Np 0.5000 0.5000 0.5000
CELL_PARAMETERS angstrom
4.6017 0.0000 0.0000
0.0000 4.6759 0.0000
0.0000 0.0000 4.6759
```



This record from the Alexandria database describes a relaxed structure of PuNpSb. The functional is GGA-PBE. Values from VASP.

Results
As for the uncorrected formation energy: -0.178 eV per atom. The value obtained for the total magnetization is 10.488 Bohr magnetons per cell. Its volume is 25.5 A^3/atom. Its density is 13.1 g cm⁻³. Its calculated total energy is -31.93 eV/cell.

Structure (Quantum ESPRESSO input):
```
&SYSTEM
  ibrav = 0, nat = 3, ntyp = 3
/
ATOMIC_SPECIES
Np 237.00 Np.upf
Sb 121.76 Sb.upf
Pu 244.00 Pu.upf
ATOMIC_POSITIONS crystal
Np 0.6214 0.6214 0.2428
Sb 0.2832 0.2832 0.5663
Pu 0.9455 0.9455 0.8909
CELL_PARAMETERS angstrom
-0.2579 3.4102 -2.1251
-0.7231 -2.1341 -3.3369
-4.1449 -0.4412 3.6095
```